Record 1
Computed, not measured: an optimized crystal structure of HfHg2H at the GGA-PBE level of DFT.

Results
M_tot = 0.00 μB per cell
Fermi-level density of states = 2.35 states/eV/f.u.

a b c (Å): 6.710 6.710 6.710
angles (deg): 90.00 90.00 90.00
Space group Fm-3m (No. 225)
One atom of each set of equivalent atoms:
Hf  0.000  0.000  0.000
Hg  0.250  0.250  0.250
H  0.000  0.000  0.500

---

Record 2
Computed, not measured: an optimized crystal structure of HfHg2H2 at the GGA-PBE level of DFT.

Results
M_tot = 0.00 μB per cell
Fermi-level density of states = 1.76 states/eV/f.u.

a b c (Å): 4.208 4.208 4.426
angles (deg): 90.00 90.00 90.00
Space group P4/mmm (No. 123)
One atom of each set of equivalent atoms:
Hf  0.000  0.000  0.000
Hg  0.000  0.500  0.500
H  0.000  0.500  0.000

---

no.,raw total energy (eV/atom)
1,-2.823
2,-3.332